Below is a relaxed Zn2SnSe crystal, with properties calculated at the GGA-PBEsol level.

Unit cell a=4.793 b=4.793 c=4.793 alpha=60.00 beta=60.00 gamma=60.00
Fractional coordinates of all 4 atoms:
Zn  0.750  0.750  0.750
Sn  0.500  0.500  0.500
Zn  0.250  0.250  0.250
Se  0.000  0.000  0.000

Output
**DOS(E_F)**: 2.54 states/eV/cell
**Spin magnetization**: 0.000 μB/cell
**Space-group type**: Fm-3m
**Calculated volume**: 19.5 Å³/atom
**VASP energy**: -2.605 eV per atom
**Energy relative to the elements, uncorrected**: 0.214 eV/atom